1.
This record from the Alexandria database describes a relaxed ScPdPb3 crystal. The functional is PBE.

a = 5.3379 Å, b = 5.3379 Å, c = 5.3379 Å
α = 90.00°, β = 90.00°, γ = 90.00°
Closest atoms and distances in Å follow each position.
Fractional positions:
Pb 0.0000 0.5000 0.0000  2 Pd 2.67
Pb 0.0000 0.0000 0.5000  2 Pd 2.67
Pb 0.5000 0.0000 0.0000  2 Pd 2.67
Sc 0.5000 0.5000 0.5000  12 Pb 3.77
Pd 0.0000 0.0000 0.0000  6 Pb 2.67

Results
distance to the lowest polymorph of the same formula = 0 meV per atom

---

2.
This record from the Alexandria database describes a relaxed ScPdPb3 crystal. The functional is PBE.

a = 5.5301 Å, b = 5.5301 Å, c = 5.5301 Å
α = 90.00°, β = 90.00°, γ = 90.00°
Closest atoms and distances in Å follow each position.
Fractional positions:
Pb 0.0000 0.5000 0.0000  2 Sc 2.77
Pb 0.0000 0.0000 0.5000  2 Sc 2.77
Pb 0.5000 0.0000 0.0000  2 Sc 2.77
Sc 0.0000 0.0000 0.0000  6 Pb 2.77
Pd 0.5000 0.5000 0.5000  12 Pb 3.91

Results
distance to the lowest polymorph of the same formula = 398 meV per atom

---

3.
This record from the Alexandria database describes a relaxed ScPd6Pb crystal. The functional is PBE.

a = 7.0246 Å, b = 7.7118 Å, c = 5.2183 Å
α = 42.38°, β = 47.61°, γ = 56.74°
Closest atoms and distances in Å follow each position.
Fractional positions:
Sc 0.5000 0.5000 0.5000  6 Pd 2.75-2.76
Pd 0.9433 0.4555 0.8520  6 Pd 2.71-2.97, 1 Sc 2.76, 1 Pb 2.82
Pd 0.7493 0.9423 0.7636  6 Pd 2.71-2.98, 1 Sc 2.75, 1 Pb 2.82
Pd 0.4561 0.2507 0.3497  6 Pd 2.70-2.98, 1 Sc 2.76, 1 Pb 2.82
Pd 0.2507 0.0577 0.2364  6 Pd 2.71-2.98, 1 Sc 2.75, 1 Pb 2.82
Pd 0.0567 0.5445 0.1480  6 Pd 2.71-2.97, 1 Sc 2.76, 1 Pb 2.82
Pd 0.5439 0.7493 0.6503  6 Pd 2.70-2.98, 1 Sc 2.76, 1 Pb 2.82
Pb 0.0000 0.0000 0.0000  12 Pd 2.82-3.07

Results
distance to the lowest polymorph of the same formula = 157 meV per atom

---

4.
This record from the Alexandria database describes a relaxed Sc3Pd12Pb crystal. The functional is PBE.

a = 4.0339 Å, b = 4.0339 Å, c = 16.1439 Å
α = 90.00°, β = 90.00°, γ = 90.00°
Closest atoms and distances in Å follow each position.
Fractional positions:
Sc 0.0000 0.0000 0.2541  12 Pd 2.83-2.85
Sc 0.0000 0.0000 0.5000  12 Pd 2.83-2.85
Sc 0.0000 0.0000 0.7459  12 Pd 2.83-2.85
Pd 0.5000 0.5000 0.0000  4 Pb 2.85, 8 Pd 2.92
Pd 0.5000 0.5000 0.2529  8 Pd 2.82-2.84, 4 Sc 2.85
Pd 0.5000 0.5000 0.5000  8 Pd 2.83, 4 Sc 2.85
Pd 0.5000 0.5000 0.7471  8 Pd 2.82-2.84, 4 Sc 2.85
Pd 0.5000 0.0000 0.1309  8 Pd 2.82-2.92, 2 Sc 2.83, 2 Pb 2.92
Pd 0.5000 0.0000 0.3769  4 Sc 2.83, 8 Pd 2.83-2.85
Pd 0.5000 0.0000 0.6231  4 Sc 2.83, 8 Pd 2.83-2.85
Pd 0.5000 0.0000 0.8691  8 Pd 2.82-2.92, 2 Sc 2.83, 2 Pb 2.92
Pd 0.0000 0.5000 0.1309  8 Pd 2.82-2.92, 2 Sc 2.83, 2 Pb 2.92
Pd 0.0000 0.5000 0.3769  4 Sc 2.83, 8 Pd 2.83-2.85
Pd 0.0000 0.5000 0.6231  4 Sc 2.83, 8 Pd 2.83-2.85
Pd 0.0000 0.5000 0.8691  8 Pd 2.82-2.92, 2 Sc 2.83, 2 Pb 2.92
Pb 0.0000 0.0000 0.0000  12 Pd 2.85-2.92

---

5.
This record from the Alexandria database describes a relaxed Sc2Pd8Pb crystal. The functional is PBE.

a = 4.0798 Å, b = 6.4982 Å, c = 7.5656 Å
α = 104.77°, β = 105.64°, γ = 90.00°
Closest atoms and distances in Å follow each position.
Fractional positions:
Sc 0.7813 0.3352 0.5626  10 Pd 2.71-3.02
Sc 0.2187 0.6648 0.4374  10 Pd 2.71-3.02
Pd 0.4036 0.5381 0.8072  3 Sc 2.80-3.02, 8 Pd 2.86-2.98, 1 Pb 2.96
Pd 0.6782 0.9130 0.3565  3 Sc 2.76, 1 Pb 2.80, 8 Pd 2.81-2.93
Pd 0.8494 0.7910 0.6988  3 Sc 2.76-2.86, 6 Pd 2.81-2.95, 2 Pb 3.04
Pd 0.9589 0.2781 0.9177  1 Sc 2.71, 8 Pd 2.81-2.95, 2 Pb 2.89
Pd 0.1506 0.2090 0.3012  3 Sc 2.76-2.86, 6 Pd 2.81-2.95, 2 Pb 3.04
Pd 0.3218 0.0870 0.6435  3 Sc 2.76, 1 Pb 2.80, 8 Pd 2.81-2.93
Pd 0.5964 0.4619 0.1928  3 Sc 2.80-3.02, 8 Pd 2.86-2.98, 1 Pb 2.96
Pd 0.0411 0.7219 0.0823  1 Sc 2.71, 8 Pd 2.81-2.95, 2 Pb 2.89
Pb 0.5000 0.0000 0.0000  12 Pd 2.80-3.04

---

6.
This record from the Alexandria database describes a relaxed ScPd12Pb3 crystal. The functional is PBE.

a = 4.0854 Å, b = 4.0854 Å, c = 16.3378 Å
α = 90.00°, β = 90.00°, γ = 90.00°
Closest atoms and distances in Å follow each position.
Fractional positions:
Sc 0.0000 0.0000 0.0000  12 Pd 2.83-2.89
Pd 0.5000 0.5000 0.0000  8 Pd 2.83, 4 Sc 2.89
Pd 0.5000 0.5000 0.2475  4 Pb 2.89, 8 Pd 2.90-2.92
Pd 0.5000 0.5000 0.5000  4 Pb 2.89, 8 Pd 2.91
Pd 0.5000 0.5000 0.7525  4 Pb 2.89, 8 Pd 2.90-2.92
Pd 0.5000 0.0000 0.1196  2 Sc 2.83, 8 Pd 2.83-2.92, 2 Pb 2.91
Pd 0.5000 0.0000 0.3733  8 Pd 2.89-2.91, 4 Pb 2.91
Pd 0.5000 0.0000 0.6267  8 Pd 2.89-2.91, 4 Pb 2.91
Pd 0.5000 0.0000 0.8804  2 Sc 2.83, 8 Pd 2.83-2.92, 2 Pb 2.91
Pd 0.0000 0.5000 0.1196  2 Sc 2.83, 8 Pd 2.83-2.92, 2 Pb 2.91
Pd 0.0000 0.5000 0.3733  8 Pd 2.89-2.91, 4 Pb 2.91
Pd 0.0000 0.5000 0.6267  8 Pd 2.89-2.91, 4 Pb 2.91
Pd 0.0000 0.5000 0.8804  2 Sc 2.83, 8 Pd 2.83-2.92, 2 Pb 2.91
Pb 0.0000 0.0000 0.2465  12 Pd 2.89-2.91
Pb 0.0000 0.0000 0.5000  12 Pd 2.89-2.91
Pb 0.0000 0.0000 0.7535  12 Pd 2.89-2.91

---

Values for E_form, meV/atom, ordered as above
214.8, 612.7, -416.9, -705.5, -589.6, -430.0